Entry 1:
# TbYGa2I2, optimized geometry, DFT PBE-GGA
data_TbYGa2I2
_chemical_formula_sum 'Tb1 Y1 Ga2 I2'
_symmetry_space_group_name_H-M 'P 3 m 1'
_symmetry_Int_Tables_number 156
_cell_length_a 4.2120
_cell_length_b 4.2120
_cell_length_c 11.6536
_cell_angle_alpha 90.00
_cell_angle_beta 90.00
_cell_angle_gamma 120.00
loop_
_symmetry_equiv_pos_as_xyz
'x,y,z'
'-y,x-y,z'
'-x+y,-x,z'
'-y,-x,z'
'-x+y,y,z'
'x,x-y,z'
loop_
_atom_site_label
_atom_site_type_symbol
_atom_site_fract_x
_atom_site_fract_y
_atom_site_fract_z
Tb1 Tb 0.0000 0.0000 0.0000
Y1 Y 0.0000 0.0000 0.6529
Ga1 Ga 0.3333 0.6667 0.8564
Ga2 Ga 0.6667 0.3333 0.7972
I1 I 0.3333 0.6667 0.4819
I2 I 0.6667 0.3333 0.1720
# Total magnetization   0.0 μB/cell

---

Entry 2:
# LaIn4GaIr, optimized geometry, DFT PBE-GGA
data_LaIn4GaIr
_chemical_formula_sum 'La1 In4 Ga1 Ir1'
_symmetry_space_group_name_H-M 'P 4/m m m'
_symmetry_Int_Tables_number 123
_symmetry_space_group_name_Hall '-P 4 2'
_cell_length_a 4.674
_cell_length_b 4.674
_cell_length_c 7.656
_cell_angle_alpha 90.00
_cell_angle_beta 90.00
_cell_angle_gamma 90.00
loop_
_atom_site_label
_atom_site_type_symbol
_atom_site_fract_x
_atom_site_fract_y
_atom_site_fract_z
La1 La 0.000 0.000 0.000
In1 In 0.000 0.500 0.303
Ga1 Ga 0.500 0.500 0.000
Ir1 Ir 0.000 0.000 0.500
# Total magnetization   0.0 μB/cell

---

Entry 3:
# Li2Mg2InGaIr2, optimized geometry, DFT PBE-GGA
data_Li2Mg2InGaIr2
_chemical_formula_sum 'Li2 Mg2 In1 Ga1 Ir2'
_symmetry_space_group_name_H-M 'P -4 m 2'
_symmetry_Int_Tables_number 115
_cell_length_a 4.451
_cell_length_b 4.451
_cell_length_c 6.326
_cell_angle_alpha 90.00
_cell_angle_beta 90.00
_cell_angle_gamma 90.00
loop_
_symmetry_equiv_pos_as_xyz
'x,y,z'
'y,-x,-z'
'-x,-y,z'
'-y,x,-z'
'-x,y,z'
'-y,-x,-z'
'x,-y,z'
'y,x,-z'
loop_
_atom_site_label
_atom_site_type_symbol
_atom_site_fract_x
_atom_site_fract_y
_atom_site_fract_z
Li1 Li 0.000 0.500 0.235
Mg1 Mg 0.000 0.000 0.000
Mg2 Mg 0.500 0.500 0.500
In1 In 0.000 0.000 0.500
Ga1 Ga 0.500 0.500 0.000
Ir1 Ir 0.000 0.500 0.766
# Total magnetization   0.0 μB/cell

---

Entry 4:
# Li2Zr2InGaIr2, optimized geometry, DFT PBE-GGA
data_Li2Zr2InGaIr2
_chemical_formula_sum 'Li2 Zr2 In1 Ga1 Ir2'
_symmetry_space_group_name_H-M 'P -4 m 2'
_symmetry_Int_Tables_number 115
_cell_length_a 4.535
_cell_length_b 4.535
_cell_length_c 6.439
_cell_angle_alpha 90.00
_cell_angle_beta 90.00
_cell_angle_gamma 90.00
loop_
_symmetry_equiv_pos_as_xyz
'x,y,z'
'y,-x,-z'
'-x,-y,z'
'-y,x,-z'
'-x,y,z'
'-y,-x,-z'
'x,-y,z'
'y,x,-z'
loop_
_atom_site_label
_atom_site_type_symbol
_atom_site_fract_x
_atom_site_fract_y
_atom_site_fract_z
Li1 Li 0.000 0.500 0.238
Zr1 Zr 0.000 0.000 0.000
Zr2 Zr 0.500 0.500 0.500
In1 In 0.000 0.000 0.500
Ga1 Ga 0.500 0.500 0.000
Ir1 Ir 0.000 0.500 0.760
# Total magnetization   0.4 μB/cell

---

Entry 5:
# Na4InGaIr2, optimized geometry, DFT PBE-GGA
data_Na4InGaIr2
_chemical_formula_sum 'Na4 In1 Ga1 Ir2'
_symmetry_space_group_name_H-M 'P -4 m 2'
_symmetry_Int_Tables_number 115
_cell_length_a 4.670
_cell_length_b 4.670
_cell_length_c 6.702
_cell_angle_alpha 90.00
_cell_angle_beta 90.00
_cell_angle_gamma 90.00
loop_
_symmetry_equiv_pos_as_xyz
'x,y,z'
'y,-x,-z'
'-x,-y,z'
'-y,x,-z'
'-x,y,z'
'-y,-x,-z'
'x,-y,z'
'y,x,-z'
loop_
_atom_site_label
_atom_site_type_symbol
_atom_site_fract_x
_atom_site_fract_y
_atom_site_fract_z
Na1 Na 0.000 0.000 0.000
Na2 Na 0.000 0.500 0.738
Na3 Na 0.500 0.500 0.500
In1 In 0.500 0.500 0.000
Ga1 Ga 0.000 0.000 0.500
Ir1 Ir 0.000 0.500 0.264
# Total magnetization   0.0 μB/cell

---

Entry 6:
# PrInGa4Ir, optimized geometry, DFT PBE-GGA
data_PrInGa4Ir
_chemical_formula_sum 'Pr1 In1 Ga4 Ir1'
_symmetry_space_group_name_H-M 'P 4/m m m'
_symmetry_Int_Tables_number 123
_symmetry_space_group_name_Hall '-P 4 2'
_cell_length_a 4.488
_cell_length_b 4.488
_cell_length_c 7.022
_cell_angle_alpha 90.00
_cell_angle_beta 90.00
_cell_angle_gamma 90.00
loop_
_atom_site_label
_atom_site_type_symbol
_atom_site_fract_x
_atom_site_fract_y
_atom_site_fract_z
Pr1 Pr 0.000 0.000 0.000
In1 In 0.500 0.500 0.000
Ga1 Ga 0.000 0.500 0.312
Ir1 Ir 0.000 0.000 0.500
# Total magnetization   0.0 μB/cell

---

Entry 7:
# PrIn4GaIr, optimized geometry, DFT PBE-GGA
data_PrIn4GaIr
_chemical_formula_sum 'Pr1 In4 Ga1 Ir1'
_symmetry_space_group_name_H-M 'P 4/m m m'
_symmetry_Int_Tables_number 123
_symmetry_space_group_name_Hall '-P 4 2'
_cell_length_a 4.658
_cell_length_b 4.658
_cell_length_c 7.583
_cell_angle_alpha 90.00
_cell_angle_beta 90.00
_cell_angle_gamma 90.00
loop_
_atom_site_label
_atom_site_type_symbol
_atom_site_fract_x
_atom_site_fract_y
_atom_site_fract_z
Pr1 Pr 0.000 0.000 0.000
In1 In 0.000 0.500 0.301
Ga1 Ga 0.500 0.500 0.000
Ir1 Ir 0.000 0.000 0.500
# Total magnetization   0.0 μB/cell

---

Entry 8:
# SmInGa4Ir, optimized geometry, DFT PBE-GGA
data_SmInGa4Ir
_chemical_formula_sum 'Sm1 In1 Ga4 Ir1'
_symmetry_space_group_name_H-M 'P 4/m m m'
_symmetry_Int_Tables_number 123
_symmetry_space_group_name_Hall '-P 4 2'
_cell_length_a 4.454
_cell_length_b 4.454
_cell_length_c 6.957
_cell_angle_alpha 90.00
_cell_angle_beta 90.00
_cell_angle_gamma 90.00
loop_
_atom_site_label
_atom_site_type_symbol
_atom_site_fract_x
_atom_site_fract_y
_atom_site_fract_z
Sm1 Sm 0.000 0.000 0.000
In1 In 0.500 0.500 0.000
Ga1 Ga 0.000 0.500 0.309
Ir1 Ir 0.000 0.000 0.500
# Total magnetization   0.0 μB/cell

---

Entry 9:
# SrIn2Ga2Ir, optimized geometry, DFT PBE-GGA
data_SrIn2Ga2Ir
_chemical_formula_sum 'Sr2 In4 Ga4 Ir2'
_symmetry_space_group_name_H-M 'P m m a'
_symmetry_Int_Tables_number 51
_cell_length_a 8.417
_cell_length_b 4.262
_cell_length_c 7.411
_cell_angle_alpha 90.00
_cell_angle_beta 90.00
_cell_angle_gamma 90.00
loop_
_symmetry_equiv_pos_as_xyz
'x,y,z'
'-x,-y,-z'
'-x+1/2,-y,z'
'x+1/2,y,-z'
'x+1/2,-y,-z'
'-x+1/2,y,z'
'-x,y,-z'
'x,-y,z'
loop_
_atom_site_label
_atom_site_type_symbol
_atom_site_fract_x
_atom_site_fract_y
_atom_site_fract_z
Sr1 Sr 0.250 0.000 0.118
In1 In 0.060 0.500 0.800
Ga1 Ga 0.000 0.000 0.500
Ga2 Ga 0.250 0.500 0.442
Ir1 Ir 0.250 0.000 0.661
# Total magnetization   0.0 μB/cell

---

Entry 10:
# TbInGa4Ir, optimized geometry, DFT PBE-GGA
data_TbInGa4Ir
_chemical_formula_sum 'Tb1 In1 Ga4 Ir1'
_symmetry_space_group_name_H-M 'P 4/m m m'
_symmetry_Int_Tables_number 123
_symmetry_space_group_name_Hall '-P 4 2'
_cell_length_a 4.436
_cell_length_b 4.436
_cell_length_c 6.891
_cell_angle_alpha 90.00
_cell_angle_beta 90.00
_cell_angle_gamma 90.00
loop_
_atom_site_label
_atom_site_type_symbol
_atom_site_fract_x
_atom_site_fract_y
_atom_site_fract_z
Tb1 Tb 0.000 0.000 0.000
In1 In 0.500 0.500 0.000
Ga1 Ga 0.000 0.500 0.307
Ir1 Ir 0.000 0.000 0.500
# Total magnetization   0.0 μB/cell

---

Entry 11:
# TmIn4GaIr, optimized geometry, DFT PBE-GGA
data_TmIn4GaIr
_chemical_formula_sum 'Tm1 In4 Ga1 Ir1'
_symmetry_space_group_name_H-M 'P 4/m m m'
_symmetry_Int_Tables_number 123
_symmetry_space_group_name_Hall '-P 4 2'
_cell_length_a 4.607
_cell_length_b 4.607
_cell_length_c 7.379
_cell_angle_alpha 90.00
_cell_angle_beta 90.00
_cell_angle_gamma 90.00
loop_
_atom_site_label
_atom_site_type_symbol
_atom_site_fract_x
_atom_site_fract_y
_atom_site_fract_z
Tm1 Tm 0.000 0.000 0.000
In1 In 0.000 0.500 0.294
Ga1 Ga 0.500 0.500 0.000
Ir1 Ir 0.000 0.000 0.500
# Total magnetization   0.0 μB/cell

---

Entry 12:
# YInGa4Ir, optimized geometry, DFT PBE-GGA
data_YInGa4Ir
_chemical_formula_sum 'Y1 In1 Ga4 Ir1'
_symmetry_space_group_name_H-M 'P 4/m m m'
_symmetry_Int_Tables_number 123
_symmetry_space_group_name_Hall '-P 4 2'
_cell_length_a 4.433
_cell_length_b 4.433
_cell_length_c 6.888
_cell_angle_alpha 90.00
_cell_angle_beta 90.00
_cell_angle_gamma 90.00
loop_
_atom_site_label
_atom_site_type_symbol
_atom_site_fract_x
_atom_site_fract_y
_atom_site_fract_z
Y1 Y 0.000 0.000 0.000
In1 In 0.500 0.500 0.000
Ga1 Ga 0.000 0.500 0.307
Ir1 Ir 0.000 0.000 0.500
# Total magnetization   0.0 μB/cell

---

| no. | E (eV per atom) |
| --- | --- |
| 1 | -4.419 |
| 2 | -4.373 |
| 3 | -4.234 |
| 4 | -6.144 |
| 5 | -3.477 |
| 6 | -4.597 |
| 7 | -4.336 |
| 8 | -4.595 |
| 9 | -4.139 |
| 10 | -4.575 |
| 11 | -4.223 |
| 12 | -4.832 |